# 1
DFT (PBE-GGA) results for a relaxed CdTcAg2 crystal.

Cell: 2.7718 2.7718 9.0291 Å, 90.00 90.00 90.00°
Sites, in units of the cell vectors:
1 Ag 0.0000 0.0000 0.9906
2 Ag 0.0000 0.0000 0.5094
3 Cd 0.5000 0.5000 0.2500
4 Tc 0.5000 0.5000 0.7500

Output
- E_tot (eV per formula unit) = -15.6
- magnetic moment (μB/atom) = 0.000
- DOS at the Fermi energy (states/eV/cell) = 2.39

=====

# 2
DFT (PBE-GGA) results for a relaxed ThCu2Ag crystal.

Cell: 4.4952 4.4952 5.1657 Å, 64.21 64.21 60.00°
Sites, in units of the cell vectors:
1 Cu 0.7820 0.7820 0.6541
2 Cu 0.2180 0.2180 0.3459
3 Ag 0.5000 0.5000 0.5000
4 Th 0.0000 0.0000 0.0000

Output
- E_tot (eV per formula unit) = -18.8
- energy above the most stable polymorph in this dataset (meV/atom) = 27
- magnetic moment (μB/atom) = 0.000
- DOS at the Fermi energy (states/eV/cell) = 3.23

=====

# 3
DFT (PBE-GGA) results for a relaxed La2Zn3Cu crystal.

Cell: 3.6900 4.5801 7.9614 Å, 90.00 90.00 90.00°
Sites, in units of the cell vectors:
1 La 0.0000 0.5000 0.0090
2 La 0.0000 0.0000 0.4920
3 Zn 0.5000 0.0000 0.8309
4 Zn 0.5000 0.0000 0.1671
5 Zn 0.5000 0.5000 0.6660
6 Cu 0.5000 0.5000 0.3351

Output
- E_tot (eV per formula unit) = -19.7
- magnetic moment (μB/atom) = 0.000
- DOS at the Fermi energy (states/eV/cell) = 5.12

=====

# 4
DFT (PBE-GGA) results for a relaxed H3AuF crystal.

Cell: 3.4494 3.4494 3.4494 Å, 90.00 90.00 90.00°
Sites, in units of the cell vectors:
1 H 0.0000 0.5000 0.0000
2 H 0.0000 0.0000 0.5000
3 H 0.5000 0.0000 0.0000
4 Au 0.5000 0.5000 0.5000
5 F 0.0000 0.0000 0.0000

Output
- E_tot (eV per formula unit) = -11.0
- energy above the most stable polymorph in this dataset (meV/atom) = 734
- magnetic moment (μB/atom) = 0.000
- DOS at the Fermi energy (states/eV/cell) = 1.82

=====

# 5
DFT (PBE-GGA) results for a relaxed Mg2SI crystal.

Cell: 6.2825 6.2825 7.7992 Å, 66.25 66.25 90.00°
Sites, in units of the cell vectors:
1 I 0.0000 0.0000 0.0000
2 I 0.7500 0.2500 0.5000
3 S 0.5000 0.5000 0.0000
4 S 0.2500 0.7500 0.5000
5 Mg 0.5436 0.1250 0.2500
6 Mg 0.2064 0.6250 0.2500
7 Mg 0.3750 0.4564 0.7500
8 Mg 0.8750 0.7936 0.7500

Output
- E_tot (eV per formula unit) = -11.7
- energy above the most stable polymorph in this dataset (meV/atom) = 0
- formation energy from raw total energies (meV per atom) = -705
- magnetic moment (μB/atom) = 0.000
- DOS at the Fermi energy (states/eV/cell) = 5.38

=====

# 6
DFT (PBE-GGA) results for a relaxed Li3LaV crystal.

Cell: 5.2354 5.2354 5.2354 Å, 90.00 90.00 90.00°
Sites, in units of the cell vectors:
1 Li 0.0000 0.5000 0.0000
2 Li 0.0000 0.0000 0.5000
3 Li 0.5000 0.0000 0.0000
4 La 0.0000 0.0000 0.0000
5 V 0.5000 0.5000 0.5000

Output
- E_tot (eV per formula unit) = -12.1
- energy above the most stable polymorph in this dataset (meV/atom) = 846
- magnetic moment (μB/atom) = 0.386
- DOS at the Fermi energy (states/eV/cell) = 9.12

=====

# 7
DFT (PBE-GGA) results for a relaxed FeTeN3 crystal.

Cell: 3.7470 3.7470 3.7470 Å, 90.00 90.00 90.00°
Sites, in units of the cell vectors:
1 Te 0.5000 0.5000 0.5000
2 Fe 0.0000 0.0000 0.0000
3 N 0.0000 0.5000 0.0000
4 N 0.0000 0.0000 0.5000
5 N 0.5000 0.0000 0.0000

Output
- E_tot (eV per formula unit) = -30.1
- formation energy from raw total energies (meV per atom) = 1300
- magnetic moment (μB/atom) = 0.283
- DOS at the Fermi energy (states/eV/cell) = 4.10

=====

# 8
DFT (PBE-GGA) results for a relaxed NaCd12In7 crystal.

Cell: 9.3386 9.3386 9.3386 Å, 109.47 109.47 109.47°
Sites, in units of the cell vectors:
1 Na 0.0000 0.0000 0.0000
2 Cd 0.3537 0.2467 0.6004
3 Cd 0.3537 0.7533 0.1070
4 Cd 0.6463 0.7533 0.3996
5 Cd 0.6463 0.2467 0.8930
6 Cd 0.6004 0.3537 0.2467
7 Cd 0.8930 0.6463 0.2467
8 Cd 0.3996 0.6463 0.7533
9 Cd 0.1070 0.3537 0.7533
10 Cd 0.7533 0.1070 0.3537
11 Cd 0.2467 0.8930 0.6463
12 Cd 0.2467 0.6004 0.3537
13 Cd 0.7533 0.3996 0.6463
14 In 0.5000 0.0000 0.5000
15 In 0.5000 0.5000 0.0000
16 In 0.0000 0.5000 0.5000
17 In 0.0000 0.0000 0.5000
18 In 0.5000 0.0000 0.0000
19 In 0.5000 0.5000 0.5000
20 In 0.0000 0.5000 0.0000

Output
- E_tot (eV per formula unit) = -28.3
- magnetic moment (μB/atom) = 0.000
- DOS at the Fermi energy (states/eV/cell) = 7.15

=====

# 9
DFT (PBE-GGA) results for a relaxed AcMg2Sn2Pd2 crystal.

Cell: 4.6127 4.6127 9.2076 Å, 75.49 75.49 60.00°
Sites, in units of the cell vectors:
1 Ac 0.0000 0.0000 0.0000
2 Mg 0.1386 0.1386 0.5841
3 Mg 0.8614 0.8614 0.4159
4 Sn 0.7472 0.7472 0.7584
5 Sn 0.2528 0.2528 0.2416
6 Pd 0.5604 0.5604 0.3187
7 Pd 0.4396 0.4396 0.6813

Output
- E_tot (eV per formula unit) = -30.2
- magnetic moment (μB/atom) = 0.000
- DOS at the Fermi energy (states/eV/cell) = 3.45

=====

# 10
DFT (PBE-GGA) results for a relaxed Cs2AcCu2Te4 crystal.

Cell: 4.5818 9.1332 8.9426 Å, 109.48 104.84 90.00°
Sites, in units of the cell vectors:
1 Cs 0.1367 0.5730 0.2734
2 Cs 0.8633 0.4270 0.7266
3 Ac 0.0000 0.0000 0.0000
4 Cu 0.6664 0.9722 0.3328
5 Cu 0.3336 0.0278 0.6672
6 Te 0.2052 0.1340 0.4105
7 Te 0.7948 0.8660 0.5895
8 Te 0.5177 0.7540 0.0355
9 Te 0.4823 0.2460 0.9645

Output
- E_tot (eV per formula unit) = -34.3
- formation energy from raw total energies (meV per atom) = -862
- magnetic moment (μB/atom) = 0.000
- DOS at the Fermi energy (states/eV/cell) = 5.66

=====

# 11
DFT (PBE-GGA) results for a relaxed AcGd2Co crystal.

Cell: 3.5347 3.5347 9.2075 Å, 90.00 90.00 90.00°
Sites, in units of the cell vectors:
1 Ac 0.5000 0.5000 0.5000
2 Gd 0.0000 0.0000 0.8264
3 Gd 0.0000 0.0000 0.1736
4 Co 0.5000 0.5000 0.0000

Output
- E_tot (eV per formula unit) = -39.4
- energy above the most stable polymorph in this dataset (meV/atom) = 0
- magnetic moment (μB/atom) = 3.359
- DOS at the Fermi energy (states/eV/cell) = 4.64

=====

# 12
DFT (PBE-GGA) results for a relaxed Nd3HoRh8 crystal.

Cell: 5.3946 5.3946 9.3501 Å, 73.23 73.23 60.00°
Sites, in units of the cell vectors:
1 Nd 0.3751 0.3751 0.8746
2 Nd 0.9996 0.9996 0.0013
3 Nd 0.5005 0.5005 0.4984
4 Ho 0.8746 0.8746 0.3762
5 Rh 0.9361 0.4368 0.1903
6 Rh 0.4394 0.9380 0.6847
7 Rh 0.4368 0.4368 0.1903
8 Rh 0.9380 0.9380 0.6847
9 Rh 0.1877 0.1877 0.4370
10 Rh 0.6875 0.6875 0.9376
11 Rh 0.4368 0.9361 0.1903
12 Rh 0.9380 0.4394 0.6847

Output
- E_tot (eV per formula unit) = -85.8
- magnetic moment (μB/atom) = 0.000
- DOS at the Fermi energy (states/eV/cell) = 6.90